{
  "formula": "CsHoCo2F8",
  "functional": "PBE with a Hubbard U",
  "state": "relaxed",
  "cell": [[4.9101, 0.0000, 0.0000], [-0.1696, 5.0513, 0.0000], [-0.5607, -0.6980, 8.9455]],
  "species": ["Cs", "Ho", "Co", "Co", "F", "F", "F", "F", "F", "F", "F", "F"],
  "fractional_positions": [[0.0000, 0.0000, 0.0000], [0.0000, 0.0000, 0.5000], [0.4975, 0.5377, 0.6838], [0.5025, 0.4623, 0.3162], [0.1621, 0.2340, 0.3329], [0.2194, 0.2412, 0.6818], [0.3339, 0.7121, 0.4902], [0.4420, 0.7065, 0.8700], [0.5580, 0.2935, 0.1300], [0.6661, 0.2879, 0.5098], [0.7806, 0.7588, 0.3182], [0.8379, 0.7660, 0.6671]],
  "dft_energy_ev_per_atom": -5.384,
  "n_ef_per_ev_cell": 0.00
}